1.
# Zr2PdRuC PBE optimized geometry
# - symmetry = P4/mmm, No. 123
# - energy relative to the elements (meV per atom) = 967
# - calculated density (Mg/m³) = 6.8
# - magnetization (μB per cell) = 0.0
data_Zr2PdRuC
_chemical_formula_sum 'Zr2 Pd1 Ru1 C1'
_symmetry_space_group_name_H-M 'P 1'
_symmetry_Int_Tables_number 1
_symmetry_space_group_name_Hall 'P 1'
_cell_length_a 5.136
_cell_length_b 3.698
_cell_length_c 5.136
_cell_angle_alpha 90.00
_cell_angle_beta 90.00
_cell_angle_gamma 90.00
loop_
_atom_site_label
_atom_site_fract_x
_atom_site_fract_y
_atom_site_fract_z
Zr1 0.000 0.000 0.500
Zr2 0.500 0.000 0.000
C1 0.000 0.500 0.000
Pd1 0.000 0.000 0.000
Ru1 0.500 0.500 0.500

2.
# PdCS PBE optimized geometry
# - uncorrected formation energy (eV per atom) = 1.1618
# - symmetry = P4/nmm, No. 129
# - calculated density (Mg/m³) = 4.6
# - magnetization (μB per cell) = 0.0
data_PdCS
_chemical_formula_sum 'Pd2 C2 S2'
_symmetry_space_group_name_H-M 'P 1'
_symmetry_Int_Tables_number 1
_symmetry_space_group_name_Hall 'P 1'
_cell_length_a 3.966
_cell_length_b 3.966
_cell_length_c 6.935
_cell_angle_alpha 90.00
_cell_angle_beta 90.00
_cell_angle_gamma 90.00
loop_
_atom_site_label
_atom_site_fract_x
_atom_site_fract_y
_atom_site_fract_z
S1 0.000 0.500 0.782
S2 0.500 0.000 0.218
Pd1 0.000 0.000 0.000
Pd2 0.500 0.500 0.000
C1 0.000 0.500 0.553
C2 0.500 0.000 0.447

3.
# PdCS2 PBE optimized geometry
# - uncorrected formation energy (eV per atom) = 1.0491
# - symmetry = R-3m, No. 166
# - calculated density (Mg/m³) = 5.5
# - magnetization (μB per cell) = 0.0
data_PdCS2
_chemical_formula_sum 'Pd1 C1 S2'
_symmetry_space_group_name_H-M 'P 1'
_symmetry_Int_Tables_number 1
_symmetry_space_group_name_Hall 'P 1'
_cell_length_a 7.153
_cell_length_b 7.153
_cell_length_c 7.153
_cell_angle_alpha 24.53
_cell_angle_beta 24.53
_cell_angle_gamma 24.53
loop_
_atom_site_label
_atom_site_fract_x
_atom_site_fract_y
_atom_site_fract_z
C1 0.500 0.500 0.500
S1 0.109 0.109 0.109
S2 0.891 0.891 0.891
Pd1 0.000 0.000 0.000

4.
# PdCS2 PBE optimized geometry
# - uncorrected formation energy (eV per atom) = 0.3728
# - symmetry = R-3m, No. 166
# - calculated density (Mg/m³) = 4.1
# - magnetization (μB per cell) = 0.0
data_PdCS2
_chemical_formula_sum 'Pd1 C1 S2'
_symmetry_space_group_name_H-M 'P 1'
_symmetry_Int_Tables_number 1
_symmetry_space_group_name_Hall 'P 1'
_cell_length_a 6.051
_cell_length_b 6.051
_cell_length_c 6.051
_cell_angle_alpha 37.84
_cell_angle_beta 37.84
_cell_angle_gamma 37.84
loop_
_atom_site_label
_atom_site_fract_x
_atom_site_fract_y
_atom_site_fract_z
S1 0.906 0.906 0.906
S2 0.094 0.094 0.094
Pd1 0.500 0.500 0.500
C1 0.000 0.000 0.000

5.
# Pd3CS PBE optimized geometry
# - energy above the most stable polymorph in this dataset (eV per atom) = 0.000
# - uncorrected formation energy (eV per atom) = 0.4049
# - symmetry = Pm-3m, No. 221
# - calculated density (Mg/m³) = 8.4
# - magnetization (μB per cell) = 0.0
data_Pd3CS
_chemical_formula_sum 'Pd3 C1 S1'
_symmetry_space_group_name_H-M 'P 1'
_symmetry_Int_Tables_number 1
_symmetry_space_group_name_Hall 'P 1'
_cell_length_a 4.163
_cell_length_b 4.163
_cell_length_c 4.163
_cell_angle_alpha 90.00
_cell_angle_beta 90.00
_cell_angle_gamma 90.00
loop_
_atom_site_label
_atom_site_fract_x
_atom_site_fract_y
_atom_site_fract_z
Pd1 0.000 0.500 0.000
Pd2 0.000 0.000 0.500
Pd3 0.500 0.000 0.000
C1 0.000 0.000 0.000
S1 0.500 0.500 0.500

6.
# Pd2CS2 PBE optimized geometry
# - energy above the most stable polymorph in this dataset (eV per atom) = 0.815
# - uncorrected formation energy (eV per atom) = 1.3455
# - symmetry = I4/mmm, No. 139
# - calculated density (Mg/m³) = 6.3
# - magnetization (μB per cell) = 0.0
data_Pd2CS2
_chemical_formula_sum 'Pd2 C1 S2'
_symmetry_space_group_name_H-M 'P 1'
_symmetry_Int_Tables_number 1
_symmetry_space_group_name_Hall 'P 1'
_cell_length_a 3.164
_cell_length_b 3.164
_cell_length_c 7.945
_cell_angle_alpha 78.51
_cell_angle_beta 78.51
_cell_angle_gamma 90.00
loop_
_atom_site_label
_atom_site_fract_x
_atom_site_fract_y
_atom_site_fract_z
S1 0.250 0.750 0.500
S2 0.750 0.250 0.500
Pd1 0.418 0.418 0.164
Pd2 0.582 0.582 0.836
C1 0.000 0.000 0.000

7.
# PdC2S PBE optimized geometry
# - uncorrected formation energy (eV per atom) = 1.3007
# - symmetry = I-42d, No. 122
# - calculated density (Mg/m³) = 6.1
# - magnetization (μB per cell) = 0.0
data_PdC2S
_chemical_formula_sum 'Pd2 C4 S2'
_symmetry_space_group_name_H-M 'P 1'
_symmetry_Int_Tables_number 1
_symmetry_space_group_name_Hall 'P 1'
_cell_length_a 4.768
_cell_length_b 4.768
_cell_length_c 5.140
_cell_angle_alpha 62.36
_cell_angle_beta 62.36
_cell_angle_gamma 90.00
loop_
_atom_site_label
_atom_site_fract_x
_atom_site_fract_y
_atom_site_fract_z
C1 0.375 0.436 0.750
C2 0.564 0.125 0.250
C3 0.186 0.625 0.250
C4 0.875 0.814 0.750
S1 0.250 0.750 0.500
S2 0.500 0.500 0.000
Pd1 0.000 0.000 0.000
Pd2 0.750 0.250 0.500

8.
# PdCS2 PBE optimized geometry
# - uncorrected formation energy (eV per atom) = 0.6979
# - symmetry = I-42d, No. 122
# - calculated density (Mg/m³) = 5.1
# - magnetization (μB per cell) = 0.0
data_PdCS2
_chemical_formula_sum 'Pd2 C2 S4'
_symmetry_space_group_name_H-M 'P 1'
_symmetry_Int_Tables_number 1
_symmetry_space_group_name_Hall 'P 1'
_cell_length_a 5.188
_cell_length_b 5.188
_cell_length_c 5.733
_cell_angle_alpha 63.10
_cell_angle_beta 63.10
_cell_angle_gamma 90.00
loop_
_atom_site_label
_atom_site_fract_x
_atom_site_fract_y
_atom_site_fract_z
S1 0.375 0.449 0.750
S2 0.551 0.125 0.250
S3 0.199 0.625 0.250
S4 0.875 0.801 0.750
Pd1 0.750 0.250 0.500
Pd2 0.000 0.000 0.000
C1 0.250 0.750 0.500
C2 0.500 0.500 0.000

9.
# Pd2CS2 PBE optimized geometry
# - energy above the most stable polymorph in this dataset (eV per atom) = 0.000
# - uncorrected formation energy (eV per atom) = 0.5309
# - symmetry = P4/mbm, No. 127
# - calculated density (Mg/m³) = 6.1
# - magnetization (μB per cell) = 0.0
data_Pd2CS2
_chemical_formula_sum 'Pd4 C2 S4'
_symmetry_space_group_name_H-M 'P 1'
_symmetry_Int_Tables_number 1
_symmetry_space_group_name_Hall 'P 1'
_cell_length_a 5.554
_cell_length_b 5.554
_cell_length_c 5.110
_cell_angle_alpha 90.00
_cell_angle_beta 90.00
_cell_angle_gamma 90.00
loop_
_atom_site_label
_atom_site_fract_x
_atom_site_fract_y
_atom_site_fract_z
C1 0.000 0.000 0.000
C2 0.500 0.500 0.000
S1 0.631 0.869 0.500
S2 0.369 0.131 0.500
S3 0.869 0.369 0.500
S4 0.131 0.631 0.500
Pd1 0.677 0.823 0.000
Pd2 0.823 0.323 0.000
Pd3 0.177 0.677 0.000
Pd4 0.323 0.177 0.000

10.
# Tc2PdCS PBE optimized geometry
# - uncorrected formation energy (eV per atom) = 0.6221
# - symmetry = P4/mmm, No. 123
# - calculated density (Mg/m³) = 8.3
# - magnetization (μB per cell) = 0.0
data_Tc2PdCS
_chemical_formula_sum 'Tc2 Pd1 C1 S1'
_symmetry_space_group_name_H-M 'P 1'
_symmetry_Int_Tables_number 1
_symmetry_space_group_name_Hall 'P 1'
_cell_length_a 4.123
_cell_length_b 4.081
_cell_length_c 4.123
_cell_angle_alpha 90.00
_cell_angle_beta 90.00
_cell_angle_gamma 90.00
loop_
_atom_site_label
_atom_site_fract_x
_atom_site_fract_y
_atom_site_fract_z
S1 0.500 0.500 0.500
Pd1 0.000 0.500 0.000
Tc1 0.000 0.000 0.500
Tc2 0.500 0.000 0.000
C1 0.000 0.000 0.000

11.
# TePd2CS PBE optimized geometry
# - uncorrected formation energy (eV per atom) = 0.6922
# - symmetry = P4/mmm, No. 123
# - calculated density (Mg/m³) = 7.2
# - magnetization (μB per cell) = 0.0
data_TePd2CS
_chemical_formula_sum 'Te1 Pd2 C1 S1'
_symmetry_space_group_name_H-M 'P 1'
_symmetry_Int_Tables_number 1
_symmetry_space_group_name_Hall 'P 1'
_cell_length_a 4.061
_cell_length_b 5.364
_cell_length_c 4.061
_cell_angle_alpha 90.00
_cell_angle_beta 90.00
_cell_angle_gamma 90.00
loop_
_atom_site_label
_atom_site_fract_x
_atom_site_fract_y
_atom_site_fract_z
Te1 0.000 0.500 0.000
S1 0.500 0.500 0.500
Pd1 0.500 0.000 0.000
Pd2 0.000 0.000 0.500
C1 0.000 0.000 0.000

12.
# Th6PdC3S2 PBE optimized geometry
# - uncorrected formation energy (eV per atom) = -0.9424
# - symmetry = C2/m, No. 12
# - calculated density (Mg/m³) = 10.2
# - magnetization (μB per cell) = 0.0
data_Th6PdC3S2
_chemical_formula_sum 'Th6 Pd1 C3 S2'
_symmetry_space_group_name_H-M 'P 1'
_symmetry_Int_Tables_number 1
_symmetry_space_group_name_Hall 'P 1'
_cell_length_a 3.830
_cell_length_b 8.140
_cell_length_c 8.973
_cell_angle_alpha 106.69
_cell_angle_beta 102.32
_cell_angle_gamma 90.00
loop_
_atom_site_label
_atom_site_fract_x
_atom_site_fract_y
_atom_site_fract_z
Th1 0.990 0.275 0.981
Th2 0.324 0.939 0.647
Th3 0.010 0.725 0.019
Th4 0.340 0.397 0.680
Th5 0.660 0.603 0.320
Th6 0.676 0.061 0.353
C1 0.833 0.169 0.665
C2 0.167 0.831 0.335
C3 0.500 0.500 0.000
Pd1 0.500 0.000 0.000
S1 0.834 0.668 0.668
S2 0.166 0.332 0.332